Density functional theory data (PBE-GGA) for a geometry-optimized InGa2Hg2 structure.

a b c (Å): 3.8647 3.8647 8.6537
angles (deg): 77.10 77.10 90.00
With the nearest neighbours (Å) after each atom.
Sites, in units of the cell vectors:
Hg 0.3968 0.3968 0.2065  4 Ga 3.09, 4 In 3.22, 1 Hg 3.39
Hg 0.6032 0.6032 0.7935  4 Ga 3.09, 4 In 3.22, 1 Hg 3.39
Ga 0.7500 0.2500 0.5000  4 Ga 2.73
Ga 0.2500 0.7500 0.5000  4 Ga 2.73
In 0.0000 0.0000 0.0000  8 Hg 3.22

Results
space group = I4/mmm
energy relative to the lowest polymorph listed for this composition = 0.71 kcal/mol of atoms
ΔH_f (0 K) = 7.99 kJ/mol of atoms